Here is crystalline CaEr2Rh at its relaxed geometry from Alexandria via LeMat-Bulk. Energies are from PBE-GGA.

Output
space group = No. 123
theoretical density = 7.11 Mg/m³
magnetic moment = 0.000 μB per formula unit
electronic total energy = -0.3706 Ry/atom
energy of formation = -40.8 kJ per mole of atoms
V = 111.6 Å³/cell
polymorph energy (0 for the lowest one) = 0 meV per atom

a b c (Å): 3.490 3.490 9.162
angles (deg): 90.00 90.00 90.00
Element x y z (fractional)
1 Ca 0.000 0.000 0.000
2 Er 0.500 0.500 0.327
3 Er 0.500 0.500 0.673
4 Rh 0.000 0.000 0.500